1.
Compound: SrScTl
Source: Alexandria
Functional: GGA-PBE
Structure: relaxed

Cell and atoms, written as POSCAR:
```
SrScTl
1.0
-3.646 2.735 -1.304
-1.260 -6.442 -1.370
-2.732 -0.751 6.065
Sc Sr Tl
2 2 2
Cartesian
-3.453 -4.700 -0.493 Sc
-4.101 -3.896 3.009 Sc
-4.514 -0.206 3.282 Sr
-1.780 -1.948 0.603 Sr
-6.967 -3.307 3.639 Tl
-5.602 -2.933 0.607 Tl
```

**M_tot**: 0.96 μB/f.u.
**Calculated formation energy**: -25 kJ/mol of formula units



2.
Compound: SrScTl
Source: Alexandria
Functional: GGA-PBE
Structure: relaxed

Cell and atoms, written as POSCAR:
```
SrScTl
1.0
5.337 0.001 -0.002
2.653 6.303 -0.006
-2.525 -2.345 5.574
Sc Sr Tl
2 2 2
Cartesian
3.758 1.711 5.145 Sc
6.474 4.810 2.906 Sc
1.151 -0.998 5.517 Sr
1.090 1.215 2.541 Sr
1.081 3.002 5.545 Tl
3.814 3.519 2.507 Tl
```

**M_tot**: 0.00 μB/f.u.
**Calculated formation energy**: -23 kJ/mol of formula units



3.
Compound: SrScTl
Source: Alexandria
Functional: GGA-PBE
Structure: relaxed

Cell and atoms, written as POSCAR:
```
SrScTl
1.0
0.000 3.748 3.748
3.748 0.000 3.748
3.748 3.748 0.000
Sc Sr Tl
1 1 1
Cartesian
1.874 1.874 1.874 Sc
5.621 5.621 5.621 Sr
0.000 0.000 0.000 Tl
```

**M_tot**: 0.00 μB/f.u.
**Calculated formation energy**: 11 kJ/mol of formula units



4.
Compound: Sr2ScTl2
Source: Alexandria
Functional: GGA-PBE
Structure: relaxed

Cell and atoms, written as POSCAR:
```
Sr2ScTl2
1.0
8.039 0.000 0.000
0.000 8.039 0.000
0.000 0.000 5.251
Sc Sr Tl
2 4 4
Cartesian
0.000 0.000 0.000 Sc
4.019 4.019 0.000 Sc
1.356 5.375 2.625 Sr
5.375 6.683 2.625 Sr
6.683 2.663 2.625 Sr
2.663 1.356 2.625 Sr
2.877 6.897 0.000 Tl
6.897 5.161 0.000 Tl
5.161 1.142 0.000 Tl
1.142 2.877 0.000 Tl
```

**M_tot**: 0.82 μB/f.u.
**Calculated formation energy**: -90 kJ/mol of formula units



5.
Compound: SrScTl
Source: Alexandria
Functional: GGA-PBE
Structure: relaxed

Cell and atoms, written as POSCAR:
```
SrScTl
1.0
-1.423 4.079 -1.426
-7.077 2.154 5.975
3.934 2.055 1.951
Sc Sr Tl
2 2 2
Cartesian
0.760 2.989 1.089 Sc
-2.234 2.230 1.904 Sc
-4.176 2.730 5.289 Sr
-1.585 5.456 3.223 Sr
-2.061 4.039 -0.352 Tl
-3.411 5.925 6.405 Tl
```

**M_tot**: 0.00 μB/f.u.
**Calculated formation energy**: -21 kJ/mol of formula units



6.
Compound: SrScTl2
Source: Alexandria
Functional: GGA-PBE
Structure: relaxed

Cell and atoms, written as POSCAR:
```
SrScTl2
1.0
-0.855 1.465 -3.398
-0.903 -3.464 -1.266
-7.399 1.079 2.327
Sc Sr Tl
1 1 2
Cartesian
-2.729 -0.729 -1.751 Sc
-6.429 -0.190 -0.587 Sr
-0.263 0.038 0.083 Tl
-3.437 0.501 1.081 Tl
```

**M_tot**: 0.00 μB/f.u.
**Calculated formation energy**: -125 kJ/mol of formula units



7.
Compound: SrSc2Tl
Source: Alexandria
Functional: GGA-PBE
Structure: relaxed

Cell and atoms, written as POSCAR:
```
SrSc2Tl
1.0
5.859 -0.018 0.000
1.856 5.557 0.000
-3.858 -2.770 3.432
Sc Sr Tl
2 1 1
Cartesian
0.000 0.000 0.000 Sc
3.858 2.770 0.000 Sc
0.928 2.779 1.716 Sr
2.930 -0.009 1.716 Tl
```

**M_tot**: 0.97 μB/f.u.
**Calculated formation energy**: 45 kJ/mol of formula units



8.
Compound: SrScTl
Source: Alexandria
Functional: GGA-PBE
Structure: relaxed

Cell and atoms, written as POSCAR:
```
SrScTl
1.0
4.949 0.003 0.001
2.465 8.238 0.004
4.946 1.480 4.722
Sc Sr Tl
2 2 2
Cartesian
10.150 7.918 4.598 Sc
7.676 7.178 2.238 Sc
5.208 2.269 3.783 Sr
2.731 3.847 0.688 Sr
2.736 0.613 1.710 Tl
5.203 5.503 2.760 Tl
```

**M_tot**: 0.00 μB/f.u.
**Calculated formation energy**: -74 kJ/mol of formula units



9.
Compound: SrScTl2
Source: Alexandria
Functional: GGA-PBE
Structure: relaxed

Cell and atoms, written as POSCAR:
```
SrScTl2
1.0
-5.162 -0.620 -5.235
-0.688 0.348 7.338
4.620 3.974 4.160
Sr Sc Tl
1 1 2
Cartesian
1.966 2.161 5.749 Sr
0.000 0.000 0.000 Sc
0.913 1.003 2.670 Tl
3.019 3.318 8.829 Tl
```

**M_tot**: 0.00 μB/f.u.
**Calculated formation energy**: 108 kJ/mol of formula units



10.
Compound: SrScTl
Source: Alexandria
Functional: GGA-PBE
Structure: relaxed

Cell and atoms, written as POSCAR:
```
SrScTl
1.0
-1.363 2.937 2.049
-10.828 -6.590 2.244
1.561 -1.486 3.169
Sc Sr Tl
2 2 2
Cartesian
-8.399 -6.024 5.050 Sc
-8.333 -2.882 4.174 Sc
-0.761 -1.376 3.467 Sr
-5.141 -0.941 3.514 Sr
-11.113 -4.574 4.750 Tl
-5.618 -4.332 4.475 Tl
```

**M_tot**: 0.60 μB/f.u.
**Calculated formation energy**: -65 kJ/mol of formula units



11.
Compound: SrScTl
Source: Alexandria
Functional: GGA-PBE
Structure: relaxed

Cell and atoms, written as POSCAR:
```
SrScTl
1.0
-0.048 1.951 -6.314
-2.215 -6.218 -0.321
-3.670 3.527 -1.016
Sc Sr Tl
2 2 2
Cartesian
-2.697 2.928 -4.076 Sc
-3.968 -1.510 -1.628 Sc
-2.260 -0.667 -4.871 Sr
-1.545 1.139 -1.200 Sr
-1.124 -2.460 -1.944 Tl
-2.088 -4.277 -4.769 Tl
```

**M_tot**: 0.00 μB/f.u.
**Calculated formation energy**: -29 kJ/mol of formula units



12.
Compound: SrScTl2
Source: Alexandria
Functional: GGA-PBE
Structure: relaxed

Cell and atoms, written as POSCAR:
```
SrScTl2
1.0
-4.292 -0.780 -4.692
-0.347 -5.687 -2.928
0.105 2.241 6.001
Sc Sr Tl
1 1 2
Cartesian
-2.319 -3.233 -3.810 Sc
-3.253 -0.886 -1.251 Sr
0.000 0.000 0.000 Tl
-1.281 -3.340 -0.369 Tl
```

**M_tot**: 0.00 μB/f.u.
**Calculated formation energy**: -34 kJ/mol of formula units